No. 1
# BaLaMg2 (GGA-PBEsol, relaxed)
data_BaLaMg2
_symmetry_space_group_name_H-M 'P m m 2'
_symmetry_Int_Tables_number 25
_symmetry_space_group_name_Hall 'P 2 -2'
_cell_length_a 3.779
_cell_length_b 5.811
_cell_length_c 6.053
_cell_angle_alpha 90.00
_cell_angle_beta 90.00
_cell_angle_gamma 90.00
loop_
_atom_site_label
_atom_site_type_symbol
_atom_site_fract_x
_atom_site_fract_y
_atom_site_fract_z
Ba1 Ba 0.000 0.000 0.000
La1 La 0.000 0.500 0.597
Mg1 Mg 0.500 0.000 0.492
Mg2 Mg 0.500 0.500 0.119
# - Density of states at the Fermi level: 0.882 states/eV per atom
# - Total moment: 0.0 μB/f.u.
# - Formation enthalpy at 0 K: -0.018 eV per atom

No. 2
# BaCaLu2F10 (GGA-PBEsol, relaxed)
data_BaCaLu2F10
_symmetry_space_group_name_H-M 'I 4/m m m'
_symmetry_Int_Tables_number 139
_symmetry_space_group_name_Hall '-I 4 2'
_cell_length_a 7.939
_cell_length_b 7.939
_cell_length_c 11.535
_cell_angle_alpha 90.00
_cell_angle_beta 90.00
_cell_angle_gamma 90.00
loop_
_atom_site_label
_atom_site_type_symbol
_atom_site_fract_x
_atom_site_fract_y
_atom_site_fract_z
Ba1 Ba 0.000 0.500 0.250
Ca1 Ca 0.000 0.000 0.243
Lu1 Lu 0.238 0.238 0.000
F1 F 0.000 0.232 0.108
F2 F 0.000 0.332 0.500
F3 F 0.176 0.176 0.337
# - Formation energy without anion corrections: -4.1176 eV per atom
# - Density of states at the Fermi level: 0.000 states/eV per atom
# - Total moment: 0.1 μB/f.u.

No. 3
# BaMg2Cl (GGA-PBEsol, relaxed)
data_BaMg2Cl
_symmetry_space_group_name_H-M 'C m m m'
_symmetry_Int_Tables_number 65
_symmetry_space_group_name_Hall '-C 2 2'
_cell_length_a 5.998
_cell_length_b 11.640
_cell_length_c 3.834
_cell_angle_alpha 90.00
_cell_angle_beta 90.00
_cell_angle_gamma 90.00
loop_
_atom_site_label
_atom_site_type_symbol
_atom_site_fract_x
_atom_site_fract_y
_atom_site_fract_z
Ba1 Ba 0.000 0.000 0.000
Mg1 Mg 0.250 0.250 0.500
Cl1 Cl 0.000 0.500 0.000
# - Formation energy without anion corrections: -0.4743 eV per atom
# - Density of states at the Fermi level: 0.617 states/eV per atom
# - Total moment: 0.0 μB/f.u.

No. 4
# Y2Cl3 (GGA-PBEsol, relaxed)
data_Y2Cl3
_symmetry_space_group_name_H-M 'C 1 2/m 1'
_symmetry_Int_Tables_number 12
_symmetry_space_group_name_Hall '-C 2y'
_cell_length_a 15.015
_cell_length_b 3.791
_cell_length_c 10.069
_cell_angle_alpha 90.00
_cell_angle_beta 118.45
_cell_angle_gamma 90.00
loop_
_atom_site_label
_atom_site_type_symbol
_atom_site_fract_x
_atom_site_fract_y
_atom_site_fract_z
Y1 Y 0.089 0.000 0.450
Y2 Y 0.139 0.500 0.792
Cl1 Cl 0.047 0.500 0.235
Cl2 Cl 0.158 0.000 0.007
Cl3 Cl 0.231 0.500 0.619
# - Formation energy without anion corrections: -1.8890 eV per atom
# - Total moment: 0.0 μB/f.u.